Record 1
First-principles (GGA-PBE) data for a relaxed La3Tb2DySb6 crystal, as listed in the Alexandria database.

## Properties
raw total energy = -67.8 eV per formula unit
SG = C2/m, No. 12
raw formation energy = -1206 meV/atom

abc: 7.8217 7.8217 7.8006
angles: 99.62 99.62 119.98
Element x y z (fractional)
La (0.0000, 0.0000, 0.0000)
La (0.3331, 0.6669, 0.0000)
La (0.6669, 0.3331, 0.0000)
Tb (0.1665, 0.8335, 0.5000)
Tb (0.8335, 0.1665, 0.5000)
Dy (0.5000, 0.5000, 0.5000)
Sb (0.0883, 0.4210, 0.2627)
Sb (0.2466, 0.2466, 0.7376)
Sb (0.4210, 0.0883, 0.2627)
Sb (0.5790, 0.9117, 0.7373)
Sb (0.7534, 0.7534, 0.2624)
Sb (0.9117, 0.5790, 0.7373)



Record 2
First-principles (GGA-PBE) data for a relaxed La2TbDySb4 crystal, as listed in the Alexandria database.

## Properties
raw total energy = -45.2 eV per formula unit
SG = P2/m, No. 10
raw formation energy = -1205 meV/atom

abc: 7.7995 4.5164 7.8179
angles: 90.00 109.52 90.00
Element x y z (fractional)
La (0.0000, 0.0000, 0.0000)
La (0.0000, 0.5000, 0.5000)
Tb (0.5000, 0.0000, 0.5000)
Dy (0.5000, 0.5000, 0.0000)
Sb (0.2630, 0.0000, 0.7548)
Sb (0.2627, 0.5000, 0.2536)
Sb (0.7370, 0.0000, 0.2452)
Sb (0.7373, 0.5000, 0.7464)



Record 3
First-principles (GGA-PBE) data for a relaxed LaDy2ThSb4 crystal, as listed in the Alexandria database.

## Properties
raw total energy = -47.1 eV per formula unit
SG = P2/m, No. 10
raw formation energy = -1126 meV/atom

abc: 7.7115 4.4818 7.7674
angles: 90.00 109.53 90.00
Element x y z (fractional)
La (0.0000, 0.0000, 0.0000)
Dy (0.5000, 0.0000, 0.5000)
Dy (0.5000, 0.5000, 0.0000)
Th (0.0000, 0.5000, 0.5000)
Sb (0.2598, 0.0000, 0.7505)
Sb (0.2613, 0.5000, 0.2570)
Sb (0.7387, 0.5000, 0.7430)
Sb (0.7402, 0.0000, 0.2495)



Record 4
First-principles (GGA-PBE) data for a relaxed LaDyTh2Sb4 crystal, as listed in the Alexandria database.

## Properties
raw total energy = -49.3 eV per formula unit
SG = P2/m, No. 10
raw formation energy = -1056 meV/atom

abc: 7.7971 4.5110 7.8044
angles: 90.00 109.57 90.00
Element x y z (fractional)
La (0.0000, 0.0000, 0.0000)
Dy (0.0000, 0.5000, 0.5000)
Th (0.5000, 0.0000, 0.5000)
Th (0.5000, 0.5000, 0.0000)
Sb (0.2465, 0.0000, 0.7433)
Sb (0.2508, 0.5000, 0.2559)
Sb (0.7492, 0.5000, 0.7441)
Sb (0.7535, 0.0000, 0.2567)



Record 5
First-principles (GGA-PBE) data for a relaxed La3Dy2ThSb6 crystal, as listed in the Alexandria database.

## Properties
raw total energy = -70.3 eV per formula unit
SG = C2/m, No. 12
raw formation energy = -1180 meV/atom

abc: 7.8295 7.8295 7.8563
angles: 99.58 99.58 119.97
Element x y z (fractional)
La (0.0000, 0.0000, 0.0000)
La (0.3345, 0.6655, 0.0000)
La (0.6655, 0.3345, 0.0000)
Dy (0.1669, 0.8331, 0.5000)
Dy (0.8331, 0.1669, 0.5000)
Th (0.5000, 0.5000, 0.5000)
Sb (0.0835, 0.4202, 0.2608)
Sb (0.2422, 0.2422, 0.7375)
Sb (0.4202, 0.0835, 0.2608)
Sb (0.5798, 0.9165, 0.7392)
Sb (0.7578, 0.7578, 0.2625)
Sb (0.9165, 0.5798, 0.7392)



Record 6
First-principles (GGA-PBE) data for a relaxed LaDyTh2Sb5 crystal, as listed in the Alexandria database.

## Properties
raw total energy = -47.2 eV per formula unit
SG = P4/mmm, No. 123
raw formation energy = -246 meV/atom

abc: 5.2709 5.2709 11.7128
angles: 90.00 90.00 90.00
Element x y z (fractional)
La (0.0000, 0.0000, 0.0000)
Dy (0.0000, 0.0000, 0.5000)
Th (0.5000, 0.5000, 0.3055)
Th (0.5000, 0.5000, 0.6945)
Sb (0.0000, 0.0000, 0.2532)
Sb (0.0000, 0.0000, 0.7468)
Sb (0.0000, 0.5000, 0.5000)
Sb (0.5000, 0.0000, 0.5000)
Sb (0.5000, 0.5000, 0.0000)